# 1
This record from Alexandria describes a geometry-optimized SrY2 structure. The functional is PBE.

Results
DOS at the Fermi energy = 6.3 states/eV/cell
space-group type = No. 71
formation energy from the elements = 0.212 eV/atom

Lattice parameters (Å, degrees): 6.5808 6.5808 6.5808 147.40 132.88 58.47
Positions (direct):
Y  0.3241  0.3241  0.0000
Y  0.6759  0.6759  0.0000
Sr  0.0000  0.0000  0.0000

---

# 2
This record from Alexandria describes a geometry-optimized SrY structure. The functional is PBE.

Results
DOS at the Fermi energy = 12.7 states/eV/cell
space-group type = No. 194
formation energy from the elements = 0.392 eV/atom

Lattice parameters (Å, degrees): 5.9320 5.9320 11.7309 90.00 90.00 120.00
Site moments in Bohr magnetons follow the coordinates.
Positions (direct):
Sr  0.6667  0.3333  0.9169  0.08
Sr  0.6667  0.3333  0.5831  0.08
Y  0.0000  0.0000  0.7500  0.39
Sr  0.3333  0.6667  0.0831  0.08
Y  0.0000  0.0000  0.2500  0.39
Y  0.6667  0.3333  0.2500  0.40
Y  0.3333  0.6667  0.7500  0.40
Sr  0.3333  0.6667  0.4169  0.08

---

# 3
This record from Alexandria describes a geometry-optimized Sr3Y structure. The functional is PBE.

Results
DOS at the Fermi energy = 6.6 states/eV/cell
space-group type = No. 44
formation energy from the elements = 0.177 eV/atom

Lattice parameters (Å, degrees): 7.7667 7.7667 7.7667 149.70 127.02 62.26
Site moments in Bohr magnetons follow the coordinates.
Positions (direct):
Sr  0.2733  0.2607  0.0126  0.04
Sr  0.1542  0.5000  0.6542  0.03
Y  0.6540  0.0000  0.6540  0.32
Sr  0.7518  0.7393  0.0126  0.04

---

# 4
This record from Alexandria describes a geometry-optimized SrY3 structure. The functional is PBE.

Results
DOS at the Fermi energy = 7.2 states/eV/cell
space-group type = No. 221
formation energy from the elements = 1.718 eV/atom

Lattice parameters (Å, degrees): 5.9154 5.9154 5.9154 90.00 90.00 90.00
Positions (direct):
Y  0.5000  0.0000  0.0000
Sr  0.0000  0.0000  0.0000
Y  0.0000  0.0000  0.5000
Y  0.0000  0.5000  0.0000

---

# 5
This record from Alexandria describes a geometry-optimized Sr3Y structure. The functional is PBE.

Results
DOS at the Fermi energy = 5.1 states/eV/cell
space-group type = No. 65
formation energy from the elements = 0.147 eV/atom

Lattice parameters (Å, degrees): 3.9009 3.9009 12.8079 90.00 90.00 109.85
Positions (direct):
Y  0.5000  0.5000  0.2500
Sr  0.0000  0.0000  0.0185
Sr  0.5000  0.5000  0.7500
Sr  0.0000  0.0000  0.4815

---

# 6
This record from Alexandria describes a geometry-optimized Sr3Y structure. The functional is PBE.

Results
DOS at the Fermi energy = 5.6 states/eV/cell
space-group type = No. 187
formation energy from the elements = 0.138 eV/atom

Lattice parameters (Å, degrees): 4.0280 4.0280 13.3120 90.00 90.00 120.00
Site moments in Bohr magnetons follow the coordinates.
Positions (direct):
Sr  0.0000  0.0000  0.9814  0.05
Sr  0.0000  0.0000  0.5186  0.05
Y  0.6667  0.3333  0.7500  0.34
Sr  0.6667  0.3333  0.2500  0.01

---

# 7
This record from Alexandria describes a geometry-optimized Sr3Y structure. The functional is PBE.

Results
DOS at the Fermi energy = 14.7 states/eV/cell
space-group type = No. 194
formation energy from the elements = 0.191 eV/atom

Lattice parameters (Å, degrees): 8.1095 8.1095 6.5664 90.00 90.00 120.00
Site moments in Bohr magnetons follow the coordinates.
Positions (direct):
Y  0.3333  0.6667  0.2500  0.18
Sr  0.1718  0.3437  0.7500  0.03
Sr  0.6563  0.8282  0.7500  0.03
Y  0.6667  0.3333  0.7500  0.18
Sr  0.1718  0.8282  0.7500  0.03
Sr  0.8282  0.1718  0.2500  0.03
Sr  0.8282  0.6563  0.2500  0.03
Sr  0.3437  0.1718  0.2500  0.03

---

# 8
This record from Alexandria describes a geometry-optimized Sr3Y structure. The functional is PBE.

Results
DOS at the Fermi energy = 4.7 states/eV/cell
space-group type = No. 221
formation energy from the elements = 0.934 eV/atom

Lattice parameters (Å, degrees): 6.8495 6.8495 6.8495 90.00 90.00 90.00
Site moments in Bohr magnetons follow the coordinates.
Positions (direct):
Sr  0.5000  0.0000  0.0000  0.15
Y  0.0000  0.0000  0.0000  0.97
Sr  0.0000  0.5000  0.0000  0.15
Sr  0.0000  0.0000  0.5000  0.15

---

- Look up the formation energy from the elements of the seventh one.
  0.191 eV/atom